SrLa2Os: single point on PBEsol structure, meta-GGA SCAN. Values from VASP.

Geometry as Quantum ESPRESSO input:
```
&SYSTEM
  ibrav = 0, nat = 4, ntyp = 3
/
ATOMIC_SPECIES
La 138.91 La.upf
Sr 87.62 Sr.upf
Os 190.23 Os.upf
ATOMIC_POSITIONS angstrom
La -1.845 -3.107 3.370
La 0.670 -0.696 1.664
Sr -1.469 -2.588 -0.491
Os -1.558 0.709 0.923
CELL_PARAMETERS angstrom
-3.116 1.418 1.847
-2.938 -5.176 -0.983
4.878 -0.046 4.169
```

Symmetry: No. 71
Density of states at the Fermi level (states/eV per atom): 0.79
Relative energy among the computed polymorphs (meV per atom): 108
Total energy (eV per atom): -45.110

LiNbH2Cl: single point on PBEsol structure, meta-GGA SCAN. Values from VASP.

Geometry as Quantum ESPRESSO input:
```
&SYSTEM
  ibrav = 0, nat = 5, ntyp = 4
/
ATOMIC_SPECIES
Li 6.94 Li.upf
Cl 35.45 Cl.upf
Nb 92.91 Nb.upf
H 1.01 H.upf
ATOMIC_POSITIONS angstrom
Li 1.838 1.838 2.439
Cl 0.000 0.000 2.439
Nb 0.000 0.000 0.000
H 0.000 1.838 0.000
H 1.838 0.000 0.000
CELL_PARAMETERS angstrom
3.675 0.000 0.000
0.000 3.675 0.000
0.000 0.000 4.879
```

Symmetry: No. 123
Density of states at the Fermi level (states/eV per atom): 0.34
Total energy (eV per atom): -10.368

CsB3O: single point on PBEsol structure, meta-GGA SCAN. Values from VASP.

Geometry as Quantum ESPRESSO input:
```
&SYSTEM
  ibrav = 0, nat = 5, ntyp = 3
/
ATOMIC_SPECIES
Cs 132.91 Cs.upf
B 10.81 B.upf
O 16.00 O.upf
ATOMIC_POSITIONS angstrom
Cs 0.000 0.000 0.000
B 0.000 0.000 2.592
B 2.592 0.000 0.000
B 0.000 2.592 0.000
O 2.592 2.592 2.592
CELL_PARAMETERS angstrom
5.184 0.000 0.000
0.000 5.184 0.000
0.000 0.000 5.184
```

Symmetry: No. 221
Density of states at the Fermi level (states/eV per atom): 0.94
Energy relative to the elements, uncorrected (eV/atom): 3.85
Relative energy among the computed polymorphs (meV per atom): 1373
Total energy (eV per atom): -9.415

CdTe: single point on PBEsol structure, meta-GGA SCAN. Values from VASP.

Geometry as Quantum ESPRESSO input:
```
&SYSTEM
  ibrav = 0, nat = 4, ntyp = 2
/
ATOMIC_SPECIES
Cd 112.41 Cd.upf
Te 127.60 Te.upf
ATOMIC_POSITIONS angstrom
Cd 6.855 3.958 4.943
Cd 2.285 1.319 2.960
Te 2.285 1.319 5.946
Te 6.855 3.958 1.956
CELL_PARAMETERS angstrom
4.570 0.000 0.000
2.285 3.958 0.000
2.285 1.319 7.903
```

Symmetry: No. 166
Energy relative to the elements, uncorrected (eV/atom): -0.38
Total energy (eV per atom): -34.213

Y2MnRh: single point on PBEsol structure, meta-GGA SCAN. Values from VASP.

Geometry as Quantum ESPRESSO input:
```
&SYSTEM
  ibrav = 0, nat = 4, ntyp = 3
/
ATOMIC_SPECIES
Rh 102.91 Rh.upf
Mn 54.94 Mn.upf
Y 88.91 Y.upf
ATOMIC_POSITIONS angstrom
Rh 2.095 1.877 1.870
Mn 2.095 0.000 3.429
Y 0.000 1.877 4.329
Y 0.000 0.000 1.173
CELL_PARAMETERS angstrom
4.191 0.000 0.000
0.000 3.755 0.000
-2.095 0.000 5.399
```

Symmetry: No. 38
Density of states at the Fermi level (states/eV per atom): 0.95
Total energy (eV per atom): -27.430

ScFe2Mo: single point on PBEsol structure, meta-GGA SCAN. Values from VASP.

Geometry as Quantum ESPRESSO input:
```
&SYSTEM
  ibrav = 0, nat = 4, ntyp = 3
/
ATOMIC_SPECIES
Fe 55.84 Fe.upf
Mo 95.94 Mo.upf
Sc 44.96 Sc.upf
ATOMIC_POSITIONS angstrom
Fe 1.350 1.666 3.873
Fe 0.000 1.815 1.508
Mo 0.000 -0.210 2.684
Sc 1.350 0.000 0.000
CELL_PARAMETERS angstrom
2.701 0.000 0.000
-1.350 3.900 0.013
0.000 -0.419 5.368
```

Symmetry: No. 12
Density of states at the Fermi level (states/eV per atom): 0.90
Total energy (eV per atom): -20.967

DyMgAg2: single point on PBEsol structure, meta-GGA SCAN. Values from VASP.

Geometry as Quantum ESPRESSO input:
```
&SYSTEM
  ibrav = 0, nat = 4, ntyp = 3
/
ATOMIC_SPECIES
Mg 24.30 Mg.upf
Ag 107.87 Ag.upf
Dy 162.50 Dy.upf
ATOMIC_POSITIONS angstrom
Mg 0.000 0.000 0.000
Ag 0.506 -7.155 -5.323
Ag 0.169 -2.385 -1.774
Dy 0.337 -4.770 -3.549
CELL_PARAMETERS angstrom
-1.975 -2.242 -3.836
2.828 -2.441 -3.111
-0.179 -4.856 -0.151
```

Symmetry: No. 225
Density of states at the Fermi level (states/eV per atom): 0.65
Total energy (eV per atom): -29.226

CoSi3: single point on PBEsol structure, meta-GGA SCAN. Values from VASP.

Geometry as Quantum ESPRESSO input:
```
&SYSTEM
  ibrav = 0, nat = 4, ntyp = 2
/
ATOMIC_SPECIES
Si 28.09 Si.upf
Co 58.93 Co.upf
ATOMIC_POSITIONS angstrom
Si -1.056 1.093 1.893
Si 1.056 -1.093 1.893
Si 1.056 2.186 0.000
Co 0.000 0.000 0.000
CELL_PARAMETERS angstrom
3.168 0.000 0.000
-1.056 4.373 0.000
-1.056 -2.186 3.787
```

Symmetry: No. 166
Density of states at the Fermi level (states/eV per atom): 0.60
Energy relative to the elements, uncorrected (eV/atom): 0.49
Total energy (eV per atom): -11.345

SiRu2RhSe: single point on PBEsol structure, meta-GGA SCAN. Values from VASP.

Geometry as Quantum ESPRESSO input:
```
&SYSTEM
  ibrav = 0, nat = 5, ntyp = 4
/
ATOMIC_SPECIES
Ru 101.07 Ru.upf
Rh 102.91 Rh.upf
Se 78.96 Se.upf
Si 28.09 Si.upf
ATOMIC_POSITIONS angstrom
Ru 2.191 -0.033 0.030
Ru -0.003 1.371 1.710
Rh -0.043 -1.688 1.354
Se 2.145 -0.349 3.093
Si 0.000 0.000 0.000
CELL_PARAMETERS angstrom
-0.087 -3.376 2.707
4.382 -0.065 0.059
-0.005 2.742 3.419
```

Symmetry: No. 123
Density of states at the Fermi level (states/eV per atom): 1.28
Energy relative to the elements, uncorrected (eV/atom): 0.79
Total energy (eV per atom): -25.913

CoAg2Br: single point on PBEsol structure, meta-GGA SCAN. Values from VASP.

Geometry as Quantum ESPRESSO input:
```
&SYSTEM
  ibrav = 0, nat = 4, ntyp = 3
/
ATOMIC_SPECIES
Co 58.93 Co.upf
Ag 107.87 Ag.upf
Br 79.90 Br.upf
ATOMIC_POSITIONS angstrom
Co 0.000 0.000 0.000
Ag 0.000 1.920 2.322
Ag 1.920 0.000 2.322
Br 1.920 1.920 0.000
CELL_PARAMETERS angstrom
3.839 0.000 0.000
0.000 3.839 0.000
-1.920 -1.920 4.644
```

Symmetry: No. 139
Density of states at the Fermi level (states/eV per atom): 0.20
Energy relative to the elements, uncorrected (eV/atom): 0.43
Relative energy among the computed polymorphs (meV per atom): 178
Total energy (eV per atom): -24.445

SrBe3Ir: single point on PBEsol structure, meta-GGA SCAN. Values from VASP.

Geometry as Quantum ESPRESSO input:
```
&SYSTEM
  ibrav = 0, nat = 5, ntyp = 3
/
ATOMIC_SPECIES
Ir 192.22 Ir.upf
Be 9.01 Be.upf
Sr 87.62 Sr.upf
ATOMIC_POSITIONS angstrom
Ir 2.711 0.714 2.554
Be 1.016 1.922 0.262
Be -0.231 -0.173 2.171
Be 1.926 -1.034 0.122
Sr 0.000 0.000 0.000
CELL_PARAMETERS angstrom
-0.461 -0.347 4.341
3.852 -2.069 0.244
2.032 3.844 0.523
```

Symmetry: No. 221
Density of states at the Fermi level (states/eV per atom): 1.09
Relative energy among the computed polymorphs (meV per atom): 3200
Total energy (eV per atom): -18.401

LaInSb2: single point on PBEsol structure, meta-GGA SCAN. Values from VASP.

Geometry as Quantum ESPRESSO input:
```
&SYSTEM
  ibrav = 0, nat = 4, ntyp = 3
/
ATOMIC_SPECIES
In 114.82 In.upf
Sb 121.76 Sb.upf
La 138.91 La.upf
ATOMIC_POSITIONS angstrom
In -1.753 1.927 2.282
Sb -2.695 1.704 -0.881
Sb 0.242 3.299 0.028
La 0.000 0.000 0.000
CELL_PARAMETERS angstrom
-0.700 3.075 -3.135
-4.689 0.332 1.373
1.183 3.522 3.191
```

Symmetry: No. 123
Density of states at the Fermi level (states/eV per atom): 0.53
Energy relative to the elements, uncorrected (eV/atom): -0.69
Total energy (eV per atom): -38.443